No. 1
# Pr2SF4

Pr2SF4 after structural relaxation (PBE-GGA, Alexandria via LeMat-Bulk).

```
14
Lattice="3.950 0.000 0.000 0.000 7.452 0.000 0.000 0.000 7.452" Properties=species:S:1:pos:R:3 pbc="T T T"
Pr 0.000 1.634 5.818
Pr 0.000 5.818 1.634
Pr 1.975 5.360 5.360
Pr 1.975 2.092 2.092
S 1.975 0.000 0.000
S 0.000 3.726 3.726
F 0.000 0.658 2.468
F 0.000 6.794 4.985
F 1.975 1.259 4.384
F 1.975 6.194 3.068
F 1.975 3.068 6.194
F 1.975 4.384 1.259
F 0.000 2.468 0.658
F 0.000 4.985 6.794
```

Output
For the spin magnetization, the calculation gives 0.000 μB per atom. As for the space group: No. 136. The density of states at the Fermi level is 0.0 states/eV/f.u. Its crystal system is tetragonal. The calculation puts the calculated volume at 219.36 Å³/cell. Its formation energy (no corrections) is -3.62 eV/atom. As for the density: 5.9 g cm⁻³.



No. 2
# Pr2S2F

Pr2S2F after structural relaxation (PBE-GGA, Alexandria via LeMat-Bulk).

```
10
Lattice="-3.572 -1.057 -1.338 -0.141 -5.358 4.609 -1.652 5.284 6.093" Properties=species:S:1:pos:R:3 pbc="T T T"
Pr -3.078 1.822 6.779
Pr -4.107 -2.776 7.303
Pr -1.324 -0.850 4.206
Pr -2.341 -4.973 4.323
S -5.040 -0.135 7.708
S -3.928 0.279 4.411
S -1.477 -2.888 6.225
S -0.322 -0.885 1.560
F -2.781 3.372 4.761
F -2.538 -2.739 3.085
```

Output
For the spin magnetization, the calculation gives 0.000 μB per atom. As for the space group: No. 36. The density of states at the Fermi level is 2.2 states/eV/f.u. Its crystal system is orthorhombic. The energy relative to the lowest polymorph listed for this composition is 0.00 eV per formula unit. The calculation puts the calculated volume at 223.60 Å³/cell. Its formation energy (no corrections) is -2.49 eV/atom. As for the density: 5.4 g cm⁻³.



No. 3
# Pr2SbF

Pr2SbF after structural relaxation (PBE-GGA, Alexandria via LeMat-Bulk).

```
16
Lattice="7.893 0.000 0.578 0.000 7.669 0.000 0.762 0.000 7.780" Properties=species:S:1:pos:R:3 pbc="T T T"
Pr 3.879 5.735 1.066
Pr 7.825 5.769 1.355
Pr 6.912 2.560 3.965
Pr 0.830 1.901 7.003
Pr 1.744 5.109 4.393
Pr 5.691 6.395 4.682
Pr 4.777 1.934 7.292
Pr 2.965 1.274 3.676
Sb 1.848 3.273 1.452
Sb 2.861 7.108 6.617
Sb 5.795 0.561 1.741
Sb 6.808 4.396 6.906
F 5.134 1.164 4.940
F 1.187 2.671 4.651
F 3.522 6.506 3.418
F 7.469 4.998 3.707
```

Output
For the spin magnetization, the calculation gives 0.000 μB per atom. As for the space group: No. 14. The density of states at the Fermi level is 2.1 states/eV/f.u. Its crystal system is monoclinic. The energy relative to the lowest polymorph listed for this composition is 0.00 eV per formula unit. The calculation puts the calculated volume at 467.61 Å³/cell. Its formation energy (no corrections) is -1.76 eV/atom. As for the density: 6.0 g cm⁻³.



No. 4
# Pr2SbF3

Pr2SbF3 after structural relaxation (PBE-GGA, Alexandria via LeMat-Bulk).

```
12
Lattice="4.155 0.000 0.000 -2.077 7.770 0.063 0.000 -3.450 7.322" Properties=species:S:1:pos:R:3 pbc="T T T"
Pr 0.000 4.750 5.575
Pr 2.077 -0.429 1.810
Pr 2.077 3.588 2.250
Pr 0.000 0.732 5.134
Sb 2.077 2.409 7.034
Sb 0.000 1.912 0.351
F 0.000 2.916 3.997
F 2.077 4.787 4.348
F 2.077 -0.705 4.836
F 0.000 5.025 2.549
F 0.000 -0.467 3.037
F 2.077 1.404 3.388
```

Output
For the spin magnetization, the calculation gives 0.000 μB per atom. As for the space group: No. 12. Its crystal system is monoclinic. The calculation puts the calculated volume at 237.27 Å³/cell. Its formation energy (no corrections) is -3.02 eV/atom. As for the density: 6.4 g cm⁻³.



No. 5
# Pr2SbF

Pr2SbF after structural relaxation (PBE-GGA, Alexandria via LeMat-Bulk).

```
4
Lattice="4.223 0.000 0.000 2.112 3.657 0.000 2.112 1.219 6.728" Properties=species:S:1:pos:R:3 pbc="T T T"
Pr 2.112 1.219 1.422
Pr 6.335 3.657 5.307
Sb 4.223 2.438 3.364
F 0.000 0.000 0.000
```

Output
For the spin magnetization, the calculation gives 0.000 μB per atom. As for the space group: No. 166. The density of states at the Fermi level is 1.5 states/eV/f.u. Its crystal system is trigonal. The energy relative to the lowest polymorph listed for this composition is 0.37 eV per formula unit. The calculation puts the calculated volume at 103.92 Å³/cell. Its formation energy (no corrections) is -1.66 eV/atom. As for the density: 6.8 g cm⁻³.



No. 6
# Pr3ScF

Pr3ScF after structural relaxation (PBE-GGA, Alexandria via LeMat-Bulk).

```
5
Lattice="5.146 0.000 0.000 0.000 5.146 0.000 0.000 0.000 5.146" Properties=species:S:1:pos:R:3 pbc="T T T"
Pr 0.000 2.573 0.000
Pr 0.000 0.000 2.573
Pr 2.573 0.000 0.000
Sc 2.573 2.573 2.573
F 0.000 0.000 0.000
```

Output
For the spin magnetization, the calculation gives 0.000 μB per atom. As for the space group: No. 221. The density of states at the Fermi level is 5.0 states/eV/f.u. Its crystal system is cubic. The calculation puts the calculated volume at 136.28 Å³/cell. Its formation energy (no corrections) is -0.95 eV/atom. As for the density: 5.9 g cm⁻³.



No. 7
# PrScF5

PrScF5 after structural relaxation (PBE-GGA, Alexandria via LeMat-Bulk).

```
14
Lattice="5.907 -0.035 -0.026 1.841 5.613 -0.026 2.740 1.972 7.372" Properties=species:S:1:pos:R:3 pbc="T T T"
Pr 4.619 3.199 1.817
Pr 5.869 4.352 5.503
Sc 0.000 0.000 0.000
Sc 1.370 0.986 3.686
F 6.302 4.433 0.824
F 4.397 4.750 3.600
F 7.573 5.556 4.510
F 6.040 1.225 1.817
F 3.218 3.902 0.034
F 7.270 3.649 7.286
F 4.448 6.325 5.503
F 2.914 1.995 2.811
F 6.091 2.800 3.720
F 4.186 3.117 6.497
```

Output
For the spin magnetization, the calculation gives 0.000 μB per atom. As for the space group: No. 15. The density of states at the Fermi level is 1.3 states/eV/f.u. Its crystal system is monoclinic. The calculation puts the calculated volume at 245.53 Å³/cell. Its formation energy (no corrections) is -3.71 eV/atom. As for the density: 3.8 g cm⁻³.



No. 8
# Pr2ScF

Pr2ScF after structural relaxation (PBE-GGA, Alexandria via LeMat-Bulk).

```
4
Lattice="-0.941 -0.107 3.222 1.405 -2.225 2.086 7.488 6.076 4.139" Properties=species:S:1:pos:R:3 pbc="T T T"
Pr 5.209 3.946 3.403
Pr 2.743 -0.203 6.045
Sc 0.000 0.000 0.000
F 3.976 1.872 4.724
```

Output
For the spin magnetization, the calculation gives 0.000 μB per atom. As for the space group: No. 166. The density of states at the Fermi level is 5.1 states/eV/f.u. Its crystal system is trigonal. The calculation puts the calculated volume at 100.73 Å³/cell. Its formation energy (no corrections) is -0.89 eV/atom. As for the density: 5.7 g cm⁻³.



No. 9
# PrSc2F

PrSc2F after structural relaxation (PBE-GGA, Alexandria via LeMat-Bulk).

```
4
Lattice="-2.304 -2.474 0.616 0.584 -2.315 2.472 -4.641 3.657 6.909" Properties=species:S:1:pos:R:3 pbc="T T T"
Pr 0.000 0.000 0.000
Sc -3.168 1.754 4.780
Sc -3.193 -2.887 5.218
F -3.181 -0.566 4.999
```

Output
For the spin magnetization, the calculation gives 0.000 μB per atom. As for the space group: No. 166. The density of states at the Fermi level is 5.3 states/eV/f.u. Its crystal system is trigonal. The calculation puts the calculated volume at 90.74 Å³/cell. Its formation energy (no corrections) is -0.85 eV/atom. As for the density: 4.6 g cm⁻³.



No. 10
# Pr2Se2F

Pr2Se2F after structural relaxation (PBE-GGA, Alexandria via LeMat-Bulk).

```
10
Lattice="-1.052 -0.076 3.922 5.339 -3.640 1.362 5.333 7.626 -0.525" Properties=species:S:1:pos:R:3 pbc="T T T"
Pr 6.383 4.902 1.807
Pr 7.573 1.409 4.161
Pr 4.071 1.122 1.114
Pr 5.146 -2.293 3.439
Se 7.943 4.356 4.318
Se 4.699 2.923 3.420
Se 6.929 -0.382 1.851
Se 1.610 -0.400 0.424
F 4.073 5.415 1.197
F 3.775 -0.297 3.110
```

Output
For the spin magnetization, the calculation gives 0.000 μB per atom. As for the space group: No. 36. The density of states at the Fermi level is 2.6 states/eV/f.u. Its crystal system is orthorhombic. The energy relative to the lowest polymorph listed for this composition is 0.00 eV per formula unit. The calculation puts the calculated volume at 243.96 Å³/cell. Its formation energy (no corrections) is -2.36 eV/atom. As for the density: 6.2 g cm⁻³.



No. 11
# Pr3Se3F2

Pr3Se3F2 after structural relaxation (PBE-GGA, Alexandria via LeMat-Bulk).

```
16
Lattice="3.928 0.000 0.000 -1.964 6.531 0.000 0.000 0.000 14.305" Properties=species:S:1:pos:R:3 pbc="T T T"
Pr 1.964 1.633 6.426
Pr 0.000 4.898 13.579
Pr 1.964 1.633 0.726
Pr 0.000 4.898 7.879
Pr 0.000 4.556 3.576
Pr 1.964 1.975 10.729
Se 1.964 5.870 5.589
Se 0.000 0.661 12.742
Se 1.964 5.870 1.563
Se 0.000 0.661 8.716
Se 1.964 2.330 3.576
Se 0.000 4.201 10.729
F 1.964 3.322 13.279
F 0.000 3.209 6.126
F 1.964 3.322 8.179
F 0.000 3.209 1.027
```

Output
For the spin magnetization, the calculation gives 0.000 μB per atom. As for the space group: No. 63. The density of states at the Fermi level is 2.3 states/eV/f.u. Its crystal system is orthorhombic. The calculation puts the calculated volume at 366.98 Å³/cell. Its formation energy (no corrections) is -2.53 eV/atom. As for the density: 6.3 g cm⁻³.



No. 12
# Pr2SeF

Pr2SeF after structural relaxation (PBE-GGA, Alexandria via LeMat-Bulk).

```
4
Lattice="3.998 0.000 0.000 1.999 3.463 0.000 1.999 1.154 6.686" Properties=species:S:1:pos:R:3 pbc="T T T"
Pr 1.999 1.154 1.486
Pr 5.998 3.463 5.200
Se 3.998 2.308 3.343
F 0.000 0.000 0.000
```

Output
For the spin magnetization, the calculation gives 0.000 μB per atom. As for the space group: No. 166. The density of states at the Fermi level is 3.2 states/eV/f.u. Its crystal system is trigonal. The calculation puts the calculated volume at 92.57 Å³/cell. Its formation energy (no corrections) is -1.99 eV/atom. As for the density: 6.8 g cm⁻³.